one.
Entry from Alexandria: a geometry-optimized Ho8Cd2In structure (PBE-GGA).

Cell lengths 8.7775, 14.6994, 5.4345 Å; angles 90.00, 112.41, 90.00 degrees
Space group C2/m (No. 12)
Symmetry-distinct sites (fractional):
Ho: 0.0000 0.2195 0.0000 (multiplicity 4)
Ho: 0.1032 0.5000 0.8029 (multiplicity 4)
Ho: 0.2085 0.1143 0.6117 (multiplicity 8)
Cd: 0.0000 0.3061 0.5000 (multiplicity 4)
In: 0.0000 0.0000 0.0000 (multiplicity 2)

Output
* DOS at the Fermi energy: 28.36 states/eV per cell
* crystal system: monoclinic



two.
Entry from Alexandria: a geometry-optimized Ho8Cd2In structure (PBE-GGA).

Cell lengths 16.2258, 5.2751, 8.4685 Å; angles 90.00, 120.58, 90.00 degrees
Space group C2/m (No. 12)
Symmetry-distinct sites (fractional):
Ho: 0.0665 0.0000 0.2207 (multiplicity 4)
Ho: 0.0935 0.5000 0.9545 (multiplicity 4)
Ho: 0.1391 0.0000 0.6863 (multiplicity 4)
Ho: 0.1821 0.5000 0.4501 (multiplicity 4)
Cd: 0.2246 0.0000 0.1152 (multiplicity 4)
In: 0.0000 0.5000 0.5000 (multiplicity 2)

Output
* DOS at the Fermi energy: 21.45 states/eV per cell
* crystal system: monoclinic



Which of them is the most stable, and which is the least stable? two and one, in that order.



one.
Entry from Alexandria: a geometry-optimized Ho6CdIn5 structure (PBE-GGA).

Cell lengths 6.3497, 11.0504, 9.8838 Å; angles 90.00, 102.59, 90.00 degrees
Space group C2/m (No. 12)
Symmetry-distinct sites (fractional):
Ho: 0.2490 0.0000 0.2494 (multiplicity 4)
Ho: 0.2490 0.1667 0.7487 (multiplicity 8)
Cd: 0.0000 0.0000 0.5000 (multiplicity 2)
In: 0.0000 0.1683 0.0000 (multiplicity 4)
In: 0.0000 0.3348 0.5000 (multiplicity 4)
In: 0.0000 0.5000 0.0000 (multiplicity 2)

Output
* DOS at the Fermi energy: 16.90 states/eV per cell
* crystal system: monoclinic



two.
Entry from Alexandria: a geometry-optimized Ho6CdIn5 structure (PBE-GGA).

Cell lengths 5.3138, 7.3984, 8.4056 Å; angles 90.00, 108.27, 90.00 degrees
Space group P2/m (No. 10)
Symmetry-distinct sites (fractional):
Ho: 0.0000 0.2497 0.0000 (multiplicity 2)
Ho: 0.3335 0.2486 0.6669 (multiplicity 4)
Cd: 0.5000 0.0000 0.0000 (multiplicity 1)
In: 0.1640 0.0000 0.3280 (multiplicity 2)
In: 0.1666 0.5000 0.3337 (multiplicity 2)
In: 0.5000 0.5000 0.0000 (multiplicity 1)

Output
* DOS at the Fermi energy: 7.17 states/eV per cell
* crystal system: monoclinic



Which of them is the most stable, and which is the least stable? two and one, in that order.



one.
Entry from Alexandria: a geometry-optimized Ho6CdIn structure (PBE-GGA).

Cell lengths 4.8274, 4.8274, 9.6443 Å; angles 90.00, 90.00, 90.00 degrees
Space group P4/mmm (No. 123)
Symmetry-distinct sites (fractional):
Ho: 0.0000 0.0000 0.0000 (multiplicity 1)
Ho: 0.0000 0.0000 0.5000 (multiplicity 1)
Ho: 0.0000 0.5000 0.2499 (multiplicity 4)
Cd: 0.5000 0.5000 0.0000 (multiplicity 1)
In: 0.5000 0.5000 0.5000 (multiplicity 1)

Output
* DOS at the Fermi energy: 11.70 states/eV per cell
* crystal system: tetragonal



two.
Entry from Alexandria: a geometry-optimized Ho6CdIn structure (PBE-GGA).

Cell lengths 6.8702, 12.0334, 6.9500 Å; angles 90.00, 118.86, 90.00 degrees
Space group C2/m (No. 12)
Symmetry-distinct sites (fractional):
Ho: 0.2417 0.2102 0.2514 (multiplicity 8)
Ho: 0.2435 0.0000 0.7516 (multiplicity 4)
Cd: 0.0000 0.0000 0.0000 (multiplicity 2)
In: 0.0000 0.5000 0.5000 (multiplicity 2)

Output
* DOS at the Fermi energy: 24.78 states/eV per cell
* crystal system: monoclinic



Which of them is the most stable, and which is the least stable? one and two, in that order.



one.
Entry from Alexandria: a geometry-optimized Ho4CdIn2 structure (PBE-GGA).

Cell lengths 5.2281, 5.2281, 25.3547 Å; angles 90.00, 90.00, 120.00 degrees
Space group R-3m (No. 166, hexagonal axes)
Symmetry-distinct sites (fractional):
Ho: 0.0000 0.0000 0.1196 (multiplicity 6)
Ho: 0.0000 0.0000 0.3717 (multiplicity 6)
Cd: 0.0000 0.0000 0.5000 (multiplicity 3)
In: 0.0000 0.0000 0.2487 (multiplicity 6)

Output
* DOS at the Fermi energy: 17.61 states/eV per cell
* crystal system: trigonal



two.
Entry from Alexandria: a geometry-optimized Ho4CdIn2 structure (PBE-GGA).

Cell lengths 7.3564, 6.5779, 9.0504 Å; angles 90.00, 113.84, 90.00 degrees
Space group P2_1/m (No. 11)
Symmetry-distinct sites (fractional):
Ho: 0.1242 0.2500 0.0718 (multiplicity 2)
Ho: 0.1352 0.0078 0.7256 (multiplicity 4)
Ho: 0.3086 0.7500 0.2814 (multiplicity 2)
Cd: 0.4304 0.7500 0.6469 (multiplicity 2)
In: 0.2480 0.2500 0.4570 (multiplicity 2)
In: 0.4712 0.7500 0.0066 (multiplicity 2)

Output
* DOS at the Fermi energy: 13.96 states/eV per cell
* crystal system: monoclinic



Which of them is the most stable, and which is the least stable? one and two, in that order.



one.
Entry from Alexandria: a geometry-optimized HoCdInPb structure (PBE-GGA).

Cell lengths 4.5496, 4.6638, 4.8226 Å; angles 90.00, 90.00, 90.00 degrees
Space group Pmmm (No. 47)
Symmetry-distinct sites (fractional):
Ho: 0.0000 0.0000 0.0000 (multiplicity 1)
Cd: 0.0000 0.5000 0.5000 (multiplicity 1)
In: 0.5000 0.0000 0.5000 (multiplicity 1)
Pb: 0.5000 0.5000 0.0000 (multiplicity 1)

Output
* DOS at the Fermi energy: 1.25 states/eV per cell
* crystal system: orthorhombic



two.
Entry from Alexandria: a geometry-optimized HoCdInPb structure (PBE-GGA).

Cell lengths 7.5515, 7.5515, 7.5515 Å; angles 90.00, 90.00, 90.00 degrees
Space group F-43m (No. 216)
Symmetry-distinct sites (fractional):
Ho: 0.0000 0.0000 0.0000 (multiplicity 4)
Cd: 0.0000 0.0000 0.5000 (multiplicity 4)
In: 0.2500 0.2500 0.7500 (multiplicity 4)
Pb: 0.2500 0.2500 0.2500 (multiplicity 4)

Output
* DOS at the Fermi energy: 10.26 states/eV per cell
* crystal system: cubic



Which of them is the most stable, and which is the least stable? one and two, in that order.



one.
Entry from Alexandria: a geometry-optimized LaHoCd2 structure (PBE-GGA).

Cell lengths 3.7602, 3.7602, 7.9459 Å; angles 90.00, 90.00, 90.00 degrees
Space group P4/mmm (No. 123)
Symmetry-distinct sites (fractional):
La: 0.0000 0.0000 0.0000 (multiplicity 1)
Ho: 0.0000 0.0000 0.5000 (multiplicity 1)
Cd: 0.5000 0.5000 0.2755 (multiplicity 2)

Output
* DOS at the Fermi energy: 4.09 states/eV per cell
* crystal system: tetragonal



two.
Entry from Alexandria: a geometry-optimized LaHoCd2 structure (PBE-GGA).

Cell lengths 7.6789, 7.6789, 7.6789 Å; angles 90.00, 90.00, 90.00 degrees
Space group Fm-3m (No. 225)
Symmetry-distinct sites (fractional):
La: 0.0000 0.0000 0.0000 (multiplicity 4)
Ho: 0.0000 0.0000 0.5000 (multiplicity 4)
Cd: 0.2500 0.2500 0.2500 (multiplicity 8)

Output
* DOS at the Fermi energy: 18.34 states/eV per cell
* crystal system: cubic



Which of them is the most stable, and which is the least stable? one and two, in that order.